DFT (GGA-PBE) results for a geometry-optimized Hf4CuRu structure.

Cell: 3.216 3.216 10.913 Å, 90.00 90.00 90.00°
Atoms (fractional coordinates):
Hf 0.000 0.000 0.150
Hf 0.000 0.000 0.850
Hf 0.500 0.500 0.340
Hf 0.500 0.500 0.660
Cu 0.000 0.000 0.500
Ru 0.500 0.500 0.000

## Properties
Space-group type ... No. 123
E_tot ... -9.18 eV/atom